# Ho2AgGe3Pt4, relaxed, DFT PBE
data_Ho2AgGe3Pt4
_symmetry_space_group_name_H-M 'P -4 m 2'
_symmetry_Int_Tables_number 115
_symmetry_space_group_name_Hall 'P -4 -2'
_cell_length_a 4.037
_cell_length_b 4.037
_cell_length_c 11.593
_cell_angle_alpha 90.00
_cell_angle_beta 90.00
_cell_angle_gamma 90.00
loop_
_atom_site_label
_atom_site_type_symbol
_atom_site_fract_x
_atom_site_fract_y
_atom_site_fract_z
Ho1 Ho 0.000 0.500 0.250
Ag1 Ag 0.000 0.000 0.500
Ge1 Ge 0.000 0.500 0.867
Ge2 Ge 0.500 0.500 0.500
Pt1 Pt 0.000 0.000 0.000
Pt2 Pt 0.000 0.500 0.661
Pt3 Pt 0.500 0.500 0.000
# **D(E_F)**: 5.08 states/eV/f.u.
# **Energy**: -5.775 eV/atom

# Ho2AgGe2Rh5, relaxed, DFT PBE
data_Ho2AgGe2Rh5
_symmetry_space_group_name_H-M 'P 4/m b m'
_symmetry_Int_Tables_number 127
_symmetry_space_group_name_Hall '-P 4 2ab'
_cell_length_a 9.769
_cell_length_b 9.769
_cell_length_c 3.591
_cell_angle_alpha 90.00
_cell_angle_beta 90.00
_cell_angle_gamma 90.00
loop_
_atom_site_label
_atom_site_type_symbol
_atom_site_fract_x
_atom_site_fract_y
_atom_site_fract_z
Ho1 Ho 0.173 0.327 0.000
Ag1 Ag 0.000 0.000 0.000
Ge1 Ge 0.126 0.626 0.000
Rh1 Rh 0.000 0.500 0.500
Rh2 Rh 0.068 0.790 0.500
# **D(E_F)**: 4.91 states/eV/f.u.
# **Energy**: -6.483 eV/atom

# HoAgGe2S6, relaxed, DFT PBE
data_HoAgGe2S6
_symmetry_space_group_name_H-M 'C 1 2/c 1'
_symmetry_Int_Tables_number 15
_symmetry_space_group_name_Hall '-C 2yc'
_cell_length_a 12.782
_cell_length_b 11.705
_cell_length_c 6.668
_cell_angle_alpha 90.00
_cell_angle_beta 108.55
_cell_angle_gamma 90.00
loop_
_atom_site_label
_atom_site_type_symbol
_atom_site_fract_x
_atom_site_fract_y
_atom_site_fract_z
Ho1 Ho 0.000 0.126 0.250
Ag1 Ag 0.000 0.253 0.750
Ge1 Ge 0.199 0.425 0.251
S1 S 0.116 0.065 0.650
S2 S 0.127 0.431 0.521
S3 S 0.139 0.255 0.114
# **Uncorrected formation energy**: -0.6692 eV/atom

# Ho6AgGe2S14, relaxed, DFT PBE
data_Ho6AgGe2S14
_symmetry_space_group_name_H-M 'P 3'
_symmetry_Int_Tables_number 143
_symmetry_space_group_name_Hall 'P 3'
_cell_length_a 9.8018
_cell_length_b 9.8018
_cell_length_c 5.8243
_cell_angle_alpha 90.00
_cell_angle_beta 90.00
_cell_angle_gamma 120.00
loop_
_atom_site_label
_atom_site_type_symbol
_atom_site_fract_x
_atom_site_fract_y
_atom_site_fract_z
Ho1 Ho 0.0233 0.5532 0.0000
Ho2 Ho 0.3090 0.1117 0.4995
Ag1 Ag 0.6667 0.3333 0.7073
Ge1 Ge 0.0000 0.0000 0.0750
Ge2 Ge 0.3333 0.6667 0.5819
S1 S 0.0000 0.0000 0.6959
S2 S 0.0898 0.8527 0.2388
S3 S 0.1867 0.4296 0.7450
S4 S 0.3333 0.6667 0.2024
S5 S 0.4051 0.1763 0.9505
S6 S 0.5065 0.4348 0.4569
# **D(E_F)**: 11.26 states/eV/f.u.
# **Uncorrected formation energy**: -1.4084 eV/atom

Number 1: volume 18.89 Å³ per atom, size of the total moment 0.0000 μB/atom. Number 2: volume 17.14 Å³ per atom, size of the total moment 0.0000 μB/atom. Number 3: volume 23.64 Å³ per atom, size of the total moment 0.0000 μB/atom. Number 4: volume 21.07 Å³ per atom, size of the total moment 0.0000 μB/atom.